Dy4ZrSb5, optimized geometry, DFT PBE; magnetization = 0.0 μB per formula unit; energy above the lowest structure with this stoichiometry = 0.00 kcal/mol of atoms; electronic total energy = -57.7 eV/cell; formation energy without anion corrections = -1.015 eV/atom; crystal system = tetragonal; V = 28.7 Å³ per atom
1.0
5.519 0.000 2.662
2.759 6.839 1.331
-0.211 0.000 7.491
Dy Sb Zr
4 5 1
Cartesian
3.164 2.718 7.558
4.914 4.121 3.930
1.584 1.405 3.782
6.494 5.433 7.707
3.714 5.521 6.419
2.765 0.000 1.334
4.365 1.318 5.070
5.886 2.670 8.968
2.193 4.168 2.521
0.007 0.000 0.003